Material: LiNbGa2B
Method: DFT, PBE-GGA
State: relaxed

Lattice parameters (Å, degrees): 5.0587 5.0587 4.2919 90.00 90.00 90.00
Fractional positions:
B  0.0000  0.0000  0.5000
Ga  0.0000  0.5000  0.0000
Ga  0.5000  0.0000  0.0000
Nb  0.0000  0.0000  0.0000
Li  0.5000  0.5000  0.5000

Results
energy relative to the lowest polymorph listed for this composition: 0.000 eV/atom
calculated formation energy: 3.0 eV per formula unit
crystal system: tetragonal
calculated total energy: -21.72 eV for the cell shown
space group: No. 123

Material: Rb3CuNi2Br9
Method: DFT, PBE-GGA
State: relaxed

Lattice parameters (Å, degrees): 7.2762 7.2762 8.9105 90.00 90.00 120.00
Fractional positions:
Br  0.8301  0.6603  0.6716
Br  0.6603  0.8301  0.3284
Br  0.3397  0.1699  0.6716
Br  0.0000  0.5000  0.0000
Br  0.1699  0.8301  0.3284
Br  0.1699  0.3397  0.3284
Br  0.5000  0.0000  0.0000
Br  0.8301  0.1699  0.6716
Br  0.5000  0.5000  0.0000
Rb  0.3333  0.6667  0.6658
Rb  0.0000  0.0000  0.0000
Rb  0.6667  0.3333  0.3342
Ni  0.3333  0.6667  0.1664
Ni  0.6667  0.3333  0.8336
Cu  0.0000  0.0000  0.5000

Results
crystal system: trigonal
calculated total energy: -46.29 eV for the cell shown
space group: No. 164